No. 1
Material: Tb3Th2Ru2
Method: DFT, PBE
State: relaxed

Computed properties:
- DOS at the Fermi energy: 1.00 states/eV per atom
- Total energy: -7.082 eV/atom
- Crystal system: triclinic
- Symmetry: P-1, No. 2

Lattice parameters (Å, degrees): 3.8657 6.3797 8.6947 110.61 90.06 107.62
Element x y z (fractional)
1 Tb 0.0000 0.0000 0.0000
2 Tb 0.1213 0.2431 0.4178
3 Tb 0.8787 0.7569 0.5822
4 Th 0.3396 0.6777 0.1974
5 Th 0.6604 0.3223 0.8026
6 Ru 0.3093 0.6191 0.7878
7 Ru 0.6907 0.3809 0.2122



No. 2
Material: Tb3ThRu8
Method: DFT, PBE
State: relaxed

Computed properties:
- DOS at the Fermi energy: 0.94 states/eV per atom
- Total energy: -8.251 eV/atom
- Crystal system: trigonal
- Symmetry: R3m, No. 160

Lattice parameters (Å, degrees): 9.3466 9.3466 9.3466 33.29 33.29 33.29
Element x y z (fractional)
1 Tb 0.0000 0.0000 0.0000
2 Tb 0.1235 0.1235 0.1235
3 Tb 0.6259 0.6259 0.6259
4 Th 0.4998 0.4998 0.4998
5 Ru 0.0590 0.5627 0.5627
6 Ru 0.0627 0.0627 0.5646
7 Ru 0.0627 0.5646 0.0627
8 Ru 0.3127 0.3127 0.3127
9 Ru 0.5627 0.0590 0.5627
10 Ru 0.5627 0.5627 0.0590
11 Ru 0.5646 0.0627 0.0627
12 Ru 0.8121 0.8121 0.8121



What is the formula in the first record? Tb3Th2Ru2